No. 1
# PBE-GGA Ac8TbNd4, optimized geometry
# Fermi-level density of states, states/eV per atom: 1.746
# Energy of formation, eV/atom: 0.04
# Calculated total energy, eV/atom: -4.31
data_Ac8TbNd4
_symmetry_space_group_name_H-M 'C 1 2/m 1'
_symmetry_Int_Tables_number 12
_symmetry_space_group_name_Hall '-C 2y'
_cell_length_a 12.160
_cell_length_b 5.509
_cell_length_c 15.894
_cell_angle_alpha 90.00
_cell_angle_beta 94.13
_cell_angle_gamma 90.00
loop_
_atom_site_label
_atom_site_fract_x
_atom_site_fract_y
_atom_site_fract_z
Ac1 0.042 0.000 0.386
Ac2 0.076 0.500 0.773
Ac3 0.191 0.000 0.926
Ac4 0.234 0.500 0.310
Tb1 0.000 0.500 0.000
Nd1 0.114 0.000 0.151
Nd2 0.151 0.500 0.537

No. 2
# PBE-GGA Y3PF, optimized geometry
# Fermi-level density of states, states/eV per atom: 1.058
# Energy relative to the lowest polymorph listed for this composition, eV/f.u.: 0.00
# Formation energy from raw total energies, eV per atom: -0.926
# Calculated total energy, eV/atom: -6.26
data_Y3PF
_symmetry_space_group_name_H-M 'P m -3 m'
_symmetry_Int_Tables_number 221
_symmetry_space_group_name_Hall '-P 4 2 3'
_cell_length_a 4.701
_cell_length_b 4.701
_cell_length_c 4.701
_cell_angle_alpha 90.00
_cell_angle_beta 90.00
_cell_angle_gamma 90.00
loop_
_atom_site_label
_atom_site_fract_x
_atom_site_fract_y
_atom_site_fract_z
Y1 0.000 0.000 0.500
P1 0.500 0.500 0.500
F1 0.000 0.000 0.000

No. 3
# PBE-GGA BaHgMo2, optimized geometry
# Fermi-level density of states, states/eV per atom: 0.559
# Energy of formation, eV/atom: 1.11
# Calculated total energy, eV/atom: -4.86
data_BaHgMo2
_symmetry_space_group_name_H-M 'P 4/m m m'
_symmetry_Int_Tables_number 123
_symmetry_space_group_name_Hall '-P 4 2'
_cell_length_a 2.922
_cell_length_b 2.922
_cell_length_c 10.200
_cell_angle_alpha 90.00
_cell_angle_beta 90.00
_cell_angle_gamma 90.00
loop_
_atom_site_label
_atom_site_fract_x
_atom_site_fract_y
_atom_site_fract_z
Ba1 0.000 0.000 0.000
Hg1 0.000 0.000 0.500
Mo1 0.500 0.500 0.286

No. 4
# PBE-GGA Na3IF, optimized geometry
# Fermi-level density of states, states/eV per atom: 0.471
# Energy relative to the lowest polymorph listed for this composition, eV/f.u.: 0.00
# Formation energy from raw total energies, eV per atom: -1.368
# Calculated total energy, eV/atom: -2.84
data_Na3IF
_symmetry_space_group_name_H-M 'P m -3 m'
_symmetry_Int_Tables_number 221
_symmetry_space_group_name_Hall '-P 4 2 3'
_cell_length_a 5.053
_cell_length_b 5.053
_cell_length_c 5.053
_cell_angle_alpha 90.00
_cell_angle_beta 90.00
_cell_angle_gamma 90.00
loop_
_atom_site_label
_atom_site_fract_x
_atom_site_fract_y
_atom_site_fract_z
Na1 0.000 0.000 0.500
I1 0.500 0.500 0.500
F1 0.000 0.000 0.000

What is the formula in the fourth record? Na3IF

Look up the Fermi-level density of states of the third one. 0.559 states/eV per atom